No. 1
The following is a PBE calculation of a geometry-optimized PrTm2Sb3 structure, from Alexandria.

Structure (extended XYZ):
```
12
Lattice="3.823 -6.625 0.000 3.823 6.625 0.000 -2.553 0.000 7.197" Properties=species:S:1:pos:R:3 pbc="T T T"
Pr 3.823 4.432 0.000
Pr 3.823 -4.432 0.000
Tm -1.277 0.000 3.599
Tm 2.546 2.257 3.599
Tm 3.823 0.000 0.000
Tm 2.546 -2.257 3.599
Sb 0.030 2.156 5.336
Sb 1.339 0.000 1.885
Sb 0.030 -2.156 5.336
Sb 5.063 2.156 1.861
Sb 3.753 0.000 5.312
Sb 5.063 -2.156 1.861
```

Properties
Formation energy from raw total energies   -1098 meV per atom
N(E_F)   2.20 states/eV/cell
Mass density   7.689 g/cm3


No. 2
The following is a PBE calculation of a geometry-optimized Ta4Mo3 structure, from Alexandria.

Structure (extended XYZ):
```
7
Lattice="-1.618 1.618 11.386 1.618 -1.618 11.386 1.618 1.618 -11.386" Properties=species:S:1:pos:R:3 pbc="T T T"
Ta 0.000 0.000 1.611
Ta 0.000 0.000 4.810
Ta 0.000 0.000 17.962
Ta 0.000 0.000 21.162
Mo 0.000 0.000 8.144
Mo 0.000 0.000 11.386
Mo 0.000 0.000 14.629
```

Properties
Polymorph energy (0 for the lowest one)   0.01 eV/f.u.
Energy of formation from the pure elements   -0.18 eV/atom
N(E_F)   7.04 states/eV/cell
Mass density   14.085 g/cm3


No. 3
The following is a PBE calculation of a geometry-optimized La6Bi5Se structure, from Alexandria.

Structure (extended XYZ):
```
12
Lattice="4.024 -6.964 0.000 4.024 6.964 0.000 -2.683 0.000 7.588" Properties=species:S:1:pos:R:3 pbc="T T T"
La -0.033 2.267 5.652
La 1.280 0.000 1.908
La -0.033 -2.267 5.652
La 5.399 2.267 1.936
La 4.086 0.000 5.679
La 5.399 -2.267 1.936
Bi 4.024 4.595 0.000
Bi 2.683 2.314 3.794
Bi 4.024 0.000 0.000
Bi 2.683 -2.314 3.794
Bi 4.024 -4.595 0.000
Se -1.342 0.000 3.794
```

Properties
Formation energy from raw total energies   -1209 meV per atom
N(E_F)   3.38 states/eV/cell
Mass density   7.642 g/cm3


No. 4
The following is a PBE calculation of a geometry-optimized CoMo2 structure, from Alexandria.

Structure (extended XYZ):
```
3
Lattice="-1.328 1.328 5.963 1.328 -1.328 5.963 1.328 1.328 -5.963" Properties=species:S:1:pos:R:3 pbc="T T T"
Co 0.000 0.000 0.000
Mo 0.000 0.000 4.135
Mo 0.000 0.000 7.791
```

Properties
Energy of formation from the pure elements   0.06 eV/atom
N(E_F)   2.32 states/eV/cell
Mass density   9.904 g/cm3


No. 5
The following is a PBE calculation of a geometry-optimized RbTl2Ga structure, from Alexandria.

Structure (extended XYZ):
```
4
Lattice="0.000 3.972 3.972 3.972 0.000 3.972 3.972 3.972 0.000" Properties=species:S:1:pos:R:3 pbc="T T T"
Rb 0.000 0.000 0.000
Tl 1.986 1.986 1.986
Tl 5.958 5.958 5.958
Ga 3.972 3.972 3.972
```

Properties
Polymorph energy (0 for the lowest one)   0.60 eV/f.u.
Energy of formation from the pure elements   0.09 eV/atom
N(E_F)   0.38 states/eV/cell
Mass density   7.473 g/cm3


No. 6
The following is a PBE calculation of a geometry-optimized NaInSnRh structure, from Alexandria.

Structure (extended XYZ):
```
4
Lattice="2.283 -2.283 0.000 2.283 2.283 0.000 -0.003 0.000 8.436" Properties=species:S:1:pos:R:3 pbc="T T T"
Na 0.000 0.000 0.000
In 2.276 0.000 2.569
Sn 2.276 0.000 5.914
Rh 4.559 0.000 4.314
```

Properties
Polymorph energy (0 for the lowest one)   0.00 eV/f.u.
Energy of formation from the pure elements   -0.26 eV/atom
N(E_F)   3.72 states/eV/cell
Mass density   6.785 g/cm3


No. 7
The following is a PBE calculation of a geometry-optimized Ta2Be2Co5Ge structure, from Alexandria.

Structure (extended XYZ):
```
20
Lattice="8.519 0.000 0.000 0.000 8.519 0.000 0.000 0.000 3.159" Properties=species:S:1:pos:R:3 pbc="T T T"
Ta 1.505 2.755 0.000
Ta 2.755 7.014 0.000
Ta 5.764 1.505 0.000
Ta 7.014 5.764 0.000
Be 1.005 5.265 0.000
Be 3.254 1.005 0.000
Be 5.265 7.514 0.000
Be 7.514 3.254 0.000
Co 0.000 4.260 1.579
Co 0.570 6.700 1.579
Co 1.819 0.570 1.579
Co 2.441 4.829 1.579
Co 3.690 2.441 1.579
Co 4.260 0.000 1.579
Co 4.829 6.079 1.579
Co 6.079 3.690 1.579
Co 6.700 7.950 1.579
Co 7.950 1.819 1.579
Ge 0.000 0.000 0.000
Ge 4.260 4.260 0.000
```

Properties
Energy of formation from the pure elements   -0.32 eV/atom
N(E_F)   15.23 states/eV/cell
Mass density   10.824 g/cm3


No. 8
The following is a PBE calculation of a geometry-optimized LiSmSnPt3 structure, from Alexandria.

Structure (extended XYZ):
```
12
Lattice="2.887 -6.283 0.000 2.887 6.283 0.000 0.000 0.000 6.457" Properties=species:S:1:pos:R:3 pbc="T T T"
Li 2.887 5.011 4.843
Li 2.887 -5.011 1.614
Sm 2.887 2.070 4.843
Sm 2.887 -2.070 1.614
Sn 2.887 1.650 1.614
Sn 2.887 -1.650 4.843
Pt 2.887 4.277 1.614
Pt 1.401 0.000 0.000
Pt 1.401 0.000 3.229
Pt 4.374 0.000 0.000
Pt 4.374 0.000 3.229
Pt 2.887 -4.277 4.843
```

Properties
Energy of formation from the pure elements   -0.64 eV/atom
N(E_F)   4.26 states/eV/cell
Mass density   12.208 g/cm3


No. 9
The following is a PBE calculation of a geometry-optimized BeAgSbTe2 structure, from Alexandria.

Structure (extended XYZ):
```
5
Lattice="5.483 0.000 0.000 0.000 5.483 0.000 0.000 0.000 5.258" Properties=species:S:1:pos:R:3 pbc="T T T"
Be 0.000 0.000 0.000
Ag 2.742 2.742 2.629
Sb 2.742 2.742 0.000
Te 0.000 2.742 2.629
Te 2.742 0.000 2.629
```

Properties
Formation energy from raw total energies   1100 meV per atom
Polymorph energy (0 for the lowest one)   3.04 eV/f.u.
N(E_F)   5.71 states/eV/cell
Mass density   5.187 g/cm3


No. 10
The following is a PBE calculation of a geometry-optimized Y2Ag3BiS6 structure, from Alexandria.

Structure (extended XYZ):
```
12
Lattice="8.616 -2.012 0.000 8.616 2.012 0.000 -1.339 0.000 7.612" Properties=species:S:1:pos:R:3 pbc="T T T"
Y 2.444 0.000 2.504
Y 13.450 0.000 5.109
Ag 1.883 0.000 6.223
Ag 7.947 0.000 3.806
Ag 14.011 0.000 1.389
Bi 8.616 0.000 0.000
S -0.288 0.000 1.974
S 5.112 0.000 3.234
S 4.529 0.000 6.985
S 11.364 0.000 0.627
S 10.781 0.000 4.379
S 16.182 0.000 5.638
```

Properties
Formation energy from raw total energies   -929 meV per atom
Mass density   5.679 g/cm3


No. 11
The following is a PBE calculation of a geometry-optimized LiTi2B structure, from Alexandria.

Structure (extended XYZ):
```
8
Lattice="-3.316 3.316 2.520 3.316 -3.316 2.520 3.316 3.316 -2.520" Properties=species:S:1:pos:R:3 pbc="T T T"
Li 0.000 0.000 0.000
Li 0.000 3.316 1.260
Ti 1.658 -1.347 1.890
Ti 1.970 1.658 0.630
Ti 1.658 4.663 -0.630
Ti 1.347 1.658 3.151
B 3.316 0.000 1.260
B 0.000 0.000 2.520
```

Properties
Energy of formation from the pure elements   0.30 eV/atom
N(E_F)   7.34 states/eV/cell
Mass density   3.399 g/cm3


No. 12
The following is a PBE calculation of a geometry-optimized NiPb3Se structure, from Alexandria.

Structure (extended XYZ):
```
5
Lattice="5.149 0.000 0.000 0.000 5.149 0.000 0.000 0.000 5.149" Properties=species:S:1:pos:R:3 pbc="T T T"
Ni 0.000 0.000 0.000
Pb 0.000 0.000 2.574
Pb 0.000 2.574 0.000
Pb 2.574 0.000 0.000
Se 2.574 2.574 2.574
```

Properties
Formation energy from raw total energies   15 meV per atom
Polymorph energy (0 for the lowest one)   0.00 eV/f.u.
N(E_F)   3.30 states/eV/cell
Mass density   9.237 g/cm3


No. 13
The following is a PBE calculation of a geometry-optimized TaMnP4 structure, from Alexandria.

Structure (extended XYZ):
```
6
Lattice="0.000 3.493 3.493 3.493 0.000 3.493 3.493 3.493 0.000" Properties=species:S:1:pos:R:3 pbc="T T T"
Ta 0.000 0.000 0.000
Mn 1.747 1.747 1.747
P 4.365 2.621 2.621
P 2.621 4.365 2.621
P 2.621 2.621 4.365
P 4.365 4.365 4.365
```

Properties
Energy of formation from the pure elements   0.54 eV/atom
N(E_F)   2.98 states/eV/cell
Mass density   7.008 g/cm3


No. 14
The following is a PBE calculation of a geometry-optimized VCr3Tc4 structure, from Alexandria.

Structure (extended XYZ):
```
8
Lattice="2.988 0.000 0.000 0.000 2.988 0.000 0.000 0.000 11.959" Properties=species:S:1:pos:R:3 pbc="T T T"
V 0.000 0.000 0.000
Cr 0.000 0.000 3.005
Cr 0.000 0.000 5.980
Cr 0.000 0.000 8.954
Tc 1.494 1.494 1.513
Tc 1.494 1.494 4.504
Tc 1.494 1.494 7.456
Tc 1.494 1.494 10.447
```

Properties
Energy of formation from the pure elements   -0.04 eV/atom
N(E_F)   7.73 states/eV/cell
Mass density   9.315 g/cm3


No. 15
The following is a PBE calculation of a geometry-optimized Ca5Sn2F structure, from Alexandria.

Structure (extended XYZ):
```
8
Lattice="-3.565 3.565 4.650 3.565 -3.565 4.650 3.565 3.565 -4.650" Properties=species:S:1:pos:R:3 pbc="T T T"
Ca 0.000 0.000 0.000
Ca 1.804 1.804 2.282
Ca 1.761 -1.761 6.931
Ca -1.761 1.761 6.931
Ca 1.761 1.761 6.931
Sn 3.565 0.000 4.612
Sn 0.000 3.565 4.612
F 0.000 0.000 7.038
```

Properties
Formation energy from raw total energies   -1010 meV per atom
N(E_F)   2.93 states/eV/cell
Mass density   3.209 g/cm3


No. 16
The following is a PBE calculation of a geometry-optimized LiHoTmMn structure, from Alexandria.

Structure (extended XYZ):
```
4
Lattice="0.000 3.512 3.512 3.512 0.000 3.512 3.512 3.512 0.000" Properties=species:S:1:pos:R:3 pbc="T T T"
Li 0.000 0.000 0.000
Ho 5.269 5.269 5.269
Tm 1.756 1.756 1.756
Mn 3.512 3.512 3.512
```

Properties
Energy of formation from the pure elements   0.11 eV/atom
N(E_F)   3.67 states/eV/cell
Mass density   7.582 g/cm3


No. 17
The following is a PBE calculation of a geometry-optimized Li2Tl2Zn structure, from Alexandria.

Structure (extended XYZ):
```
5
Lattice="5.041 -2.063 0.000 5.041 2.063 0.000 -4.973 0.000 5.087" Properties=species:S:1:pos:R:3 pbc="T T T"
Li 0.651 0.000 1.537
Li 4.458 0.000 3.550
Tl 3.591 0.000 0.724
Tl 1.518 0.000 4.362
Zn -2.487 0.000 2.543
```

Properties
Polymorph energy (0 for the lowest one)   0.00 eV/f.u.
Energy of formation from the pure elements   -0.10 eV/atom
N(E_F)   1.70 states/eV/cell
Mass density   7.662 g/cm3


No. 18
The following is a PBE calculation of a geometry-optimized YB3I structure, from Alexandria.

Structure (extended XYZ):
```
5
Lattice="4.440 0.000 0.000 0.000 4.440 0.000 0.000 0.000 4.440" Properties=species:S:1:pos:R:3 pbc="T T T"
Y 0.000 0.000 0.000
B 0.000 2.220 2.220
B 2.220 0.000 2.220
B 2.220 2.220 0.000
I 2.220 2.220 2.220
```

Properties
Formation energy from raw total energies   1915 meV per atom
Polymorph energy (0 for the lowest one)   0.00 eV/f.u.
N(E_F)   2.80 states/eV/cell
Mass density   4.709 g/cm3


No. 19
The following is a PBE calculation of a geometry-optimized K2NaSn2 structure, from Alexandria.

Structure (extended XYZ):
```
10
Lattice="10.473 0.000 0.000 0.000 10.473 0.000 0.000 0.000 3.445" Properties=species:S:1:pos:R:3 pbc="T T T"
K 2.059 3.177 0.000
K 3.177 8.414 0.000
K 7.296 2.059 0.000
K 8.414 7.296 0.000
Na 0.000 0.000 0.000
Na 5.237 5.237 0.000
Sn 1.020 6.256 1.723
Sn 4.217 1.020 1.723
Sn 6.256 9.454 1.723
Sn 9.454 4.217 1.723
```

Properties
Polymorph energy (0 for the lowest one)   0.54 eV/f.u.
Energy of formation from the pure elements   -0.02 eV/atom
N(E_F)   3.44 states/eV/cell
Mass density   2.976 g/cm3


No. 20
The following is a PBE calculation of a geometry-optimized Cd3In2Pb4 structure, from Alexandria.

Structure (extended XYZ):
```
9
Lattice="3.518 0.000 0.000 -1.759 3.047 0.000 0.000 0.000 23.934" Properties=species:S:1:pos:R:3 pbc="T T T"
Cd 0.000 0.000 0.000
Cd 0.000 0.000 8.058
Cd 1.759 1.016 16.153
In 1.759 1.016 2.358
In 1.759 1.016 21.521
Pb 0.000 0.000 13.595
Pb 0.000 0.000 18.729
Pb 1.759 1.016 5.505
Pb 1.759 1.016 10.631
```

Properties
Energy of formation from the pure elements   0.04 eV/atom
N(E_F)   2.73 states/eV/cell
Mass density   9.032 g/cm3


No. 21
The following is a PBE calculation of a geometry-optimized PrPbI structure, from Alexandria.

Structure (extended XYZ):
```
6
Lattice="3.974 -2.657 0.000 3.974 2.657 0.000 -1.190 0.000 11.434" Properties=species:S:1:pos:R:3 pbc="T T T"
Pr -0.207 0.000 2.158
Pr 6.966 0.000 9.276
Pb 2.532 0.000 0.369
Pb 4.227 0.000 11.065
I 1.783 0.000 7.487
I 4.975 0.000 3.948
```

Properties
Formation energy from raw total energies   -724 meV per atom
Polymorph energy (0 for the lowest one)   0.00 eV/f.u.
N(E_F)   2.73 states/eV/cell
Mass density   6.533 g/cm3


No. 22
The following is a PBE calculation of a geometry-optimized Sr3Dy2NpAs6 structure, from Alexandria.

Structure (extended XYZ):
```
12
Lattice="3.666 -6.347 0.000 3.666 6.347 0.000 -2.442 0.000 7.140" Properties=species:S:1:pos:R:3 pbc="T T T"
Sr 0.000 0.000 0.000
Sr 3.666 2.157 0.000
Sr 3.666 -2.157 0.000
Dy 2.445 4.239 3.570
Dy 2.445 -4.239 3.570
Np 2.445 0.000 3.570
As 1.275 2.029 2.018
As 0.113 0.000 5.120
As 1.275 -2.029 2.018
As 3.615 2.029 5.122
As 4.777 0.000 2.020
As 3.615 -2.029 5.122
```

Properties
Energy of formation from the pure elements   -1.15 eV/atom
N(E_F)   2.25 states/eV/cell
Mass density   6.368 g/cm3


No. 23
The following is a PBE calculation of a geometry-optimized Mg2AgSb structure, from Alexandria.

Structure (extended XYZ):
```
4
Lattice="3.223 0.000 0.000 0.000 3.223 0.000 0.000 0.000 8.639" Properties=species:S:1:pos:R:3 pbc="T T T"
Mg 0.000 0.000 0.000
Mg 1.612 1.612 2.331
Ag 1.612 1.612 6.846
Sb 0.000 0.000 4.602
```

Properties
Formation energy from raw total energies   -30 meV per atom
Polymorph energy (0 for the lowest one)   0.65 eV/f.u.
N(E_F)   1.31 states/eV/cell
Mass density   5.148 g/cm3


No. 24
The following is a PBE calculation of a geometry-optimized CsCaCrAu2 structure, from Alexandria.

Structure (extended XYZ):
```
5
Lattice="5.301 0.000 0.000 0.000 5.301 0.000 0.000 0.000 5.574" Properties=species:S:1:pos:R:3 pbc="T T T"
Cs 0.000 0.000 0.000
Ca 2.651 2.651 0.000
Cr 0.000 0.000 2.787
Au 0.000 2.651 2.787
Au 2.651 0.000 2.787
```

Properties
Energy of formation from the pure elements   0.50 eV/atom
N(E_F)   4.37 states/eV/cell
Mass density   6.560 g/cm3